1.
VASP calculation (meta-GGA SCAN) on a PBEsol-optimized structure of TaAgCl2.

The calculation puts the total magnetization at 0.00 μB/f.u. For the raw formation energy, the calculation gives 594 meV/atom. The calculated volume is 69 Å³ per cell. The calculation puts the density of states at the Fermi level at 2.51 states/eV/f.u.

a = 3.629 Å, b = 3.629 Å, c = 5.850 Å
α = 108.07°, β = 108.07°, γ = 90.00°
Fractional coordinates of all 4 atoms:
Cl1 0.000 0.000 0.000
Cl2 0.750 0.250 0.500
Ag1 0.250 0.750 0.500
Ta1 0.500 0.500 0.000

2.
VASP calculation (meta-GGA SCAN) on a PBEsol-optimized structure of TaAgCl2.

The calculation puts the total magnetization at 0.00 μB/f.u. For the raw formation energy, the calculation gives 427 meV/atom. The calculated volume is 66 Å³ per cell. The calculation puts the density of states at the Fermi level at 1.62 states/eV/f.u.

a = 4.139 Å, b = 4.139 Å, c = 4.825 Å
α = 115.40°, β = 115.40°, γ = 90.00°
Fractional coordinates of all 4 atoms:
Cl1 0.750 0.250 0.500
Cl2 0.250 0.750 0.500
Ag1 0.000 0.000 0.000
Ta1 0.500 0.500 0.000

3.
VASP calculation (meta-GGA SCAN) on a PBEsol-optimized structure of TaAgCl2.

The calculation puts the total magnetization at 0.00 μB/f.u. For the raw formation energy, the calculation gives -373 meV/atom. The calculated volume is 74 Å³ per cell. The calculation puts the density of states at the Fermi level at 1.55 states/eV/f.u.

a = 3.181 Å, b = 3.181 Å, c = 8.672 Å
α = 79.43°, β = 79.43°, γ = 60.00°
Fractional coordinates of all 4 atoms:
Cl1 0.987 0.987 0.038
Cl2 0.765 0.765 0.704
Ag1 0.249 0.249 0.252
Ta1 0.498 0.498 0.506

4.
VASP calculation (meta-GGA SCAN) on a PBEsol-optimized structure of TaAgCl2.

The calculation puts the total magnetization at 1.97 μB/f.u. For the raw formation energy, the calculation gives 703 meV/atom. The calculated volume is 72 Å³ per cell. The calculation puts the density of states at the Fermi level at 0.76 states/eV/f.u.

a = 4.666 Å, b = 4.666 Å, c = 4.666 Å
α = 60.00°, β = 60.00°, γ = 60.00°
Site moments in Bohr magnetons follow the coordinates.
Fractional coordinates of all 4 atoms:
Cl1 0.000 0.000 0.000  -0.02
Cl2 0.250 0.250 0.250  0.09
Ag1 0.500 0.500 0.500  0.00
Ta1 0.750 0.750 0.750  1.40

5.
VASP calculation (meta-GGA SCAN) on a PBEsol-optimized structure of TaAgCl2.

The calculation puts the total magnetization at 1.69 μB/f.u. For the raw formation energy, the calculation gives 43 meV/atom. The calculated volume is 191 Å³ per cell. The calculation puts the density of states at the Fermi level at 1.92 states/eV/f.u.

a = 5.460 Å, b = 6.521 Å, c = 6.521 Å
α = 79.90°, β = 65.25°, γ = 65.25°
Site moments in Bohr magnetons follow the coordinates.
Fractional coordinates of all 8 atoms:
Cl1 0.994 0.131 0.631  -0.02
Cl2 0.756 0.869 0.369  -0.02
Cl3 0.375 0.631 0.869  -0.02
Cl4 0.875 0.369 0.131  -0.02
Ag1 0.250 0.500 0.500  0.03
Ag2 0.500 0.000 0.000  0.03
Ta1 0.750 0.500 0.500  1.15
Ta2 0.000 0.000 0.000  1.15

6.
VASP calculation (meta-GGA SCAN) on a PBEsol-optimized structure of Ta3AgCl.

The calculation puts the total magnetization at 0.00 μB/f.u. For the raw formation energy, the calculation gives 2251 meV/atom. The calculated volume is 117 Å³ per cell. The calculation puts the density of states at the Fermi level at 3.81 states/eV/f.u.

a = 4.895 Å, b = 4.895 Å, c = 4.895 Å
α = 90.00°, β = 90.00°, γ = 90.00°
Fractional coordinates of all 5 atoms:
Cl1 0.500 0.500 0.500
Ag1 0.000 0.000 0.000
Ta1 0.000 0.500 0.000
Ta2 0.000 0.000 0.500
Ta3 0.500 0.000 0.000

7.
VASP calculation (meta-GGA SCAN) on a PBEsol-optimized structure of Tc2AgCl.

The calculation puts the total magnetization at 1.75 μB/f.u. For the raw formation energy, the calculation gives 1140 meV/atom. The calculated volume is 64 Å³ per cell. The calculation puts the density of states at the Fermi level at 3.51 states/eV/f.u.

a = 3.617 Å, b = 3.617 Å, c = 5.555 Å
α = 109.00°, β = 109.00°, γ = 90.00°
Site moments in Bohr magnetons follow the coordinates.
Fractional coordinates of all 4 atoms:
Tc1 0.750 0.250 0.500  0.75
Tc2 0.250 0.750 0.500  0.75
Ag1 0.500 0.500 0.000  0.05
Cl1 0.000 0.000 0.000  0.08

8.
VASP calculation (meta-GGA SCAN) on a PBEsol-optimized structure of Tc2AgCl.

The calculation puts the total magnetization at 0.00 μB/f.u. For the raw formation energy, the calculation gives 1022 meV/atom. The calculated volume is 61 Å³ per cell. The calculation puts the density of states at the Fermi level at 2.89 states/eV/f.u.

a = 4.393 Å, b = 4.295 Å, c = 4.295 Å
α = 85.66°, β = 63.27°, γ = 116.73°
Fractional coordinates of all 4 atoms:
Tc1 0.000 0.000 0.000
Tc2 0.500 0.249 0.249
Ag1 0.000 0.500 0.500
Cl1 0.500 0.751 0.751

9.
VASP calculation (meta-GGA SCAN) on a PBEsol-optimized structure of Tc2AgCl.

The calculation puts the total magnetization at 0.00 μB/f.u. For the raw formation energy, the calculation gives 1182 meV/atom. The calculated volume is 58 Å³ per cell. The calculation puts the density of states at the Fermi level at 5.34 states/eV/f.u.

a = 2.848 Å, b = 4.527 Å, c = 4.527 Å
α = 90.00°, β = 90.00°, γ = 90.00°
Fractional coordinates of all 4 atoms:
Tc1 0.000 0.000 0.500
Tc2 0.000 0.500 0.000
Ag1 0.500 0.500 0.500
Cl1 0.500 0.000 0.000

10.
VASP calculation (meta-GGA SCAN) on a PBEsol-optimized structure of AgTe3Cl.

The calculation puts the total magnetization at 0.00 μB/f.u. For the raw formation energy, the calculation gives 522 meV/atom. The calculated volume is 150 Å³ per cell. The calculation puts the density of states at the Fermi level at 5.64 states/eV/f.u.

a = 5.315 Å, b = 5.315 Å, c = 5.315 Å
α = 90.00°, β = 90.00°, γ = 90.00°
Fractional coordinates of all 5 atoms:
Te1 0.000 0.500 0.000
Te2 0.000 0.000 0.500
Te3 0.500 0.000 0.000
Ag1 0.000 0.000 0.000
Cl1 0.500 0.500 0.500

11.
VASP calculation (meta-GGA SCAN) on a PBEsol-optimized structure of AgTe3Cl.

The calculation puts the total magnetization at 0.00 μB/f.u. For the raw formation energy, the calculation gives 839 meV/atom. The calculated volume is 146 Å³ per cell. The calculation puts the density of states at the Fermi level at 3.32 states/eV/f.u.

a = 5.271 Å, b = 5.271 Å, c = 5.271 Å
α = 90.00°, β = 90.00°, γ = 90.00°
Fractional coordinates of all 5 atoms:
Te1 0.000 0.500 0.000
Te2 0.000 0.000 0.500
Te3 0.500 0.000 0.000
Ag1 0.500 0.500 0.500
Cl1 0.000 0.000 0.000

12.
VASP calculation (meta-GGA SCAN) on a PBEsol-optimized structure of TiAg3Cl.

The calculation puts the total magnetization at 2.25 μB/f.u. For the raw formation energy, the calculation gives 1020 meV/atom. The calculated volume is 125 Å³ per cell. The calculation puts the density of states at the Fermi level at 3.44 states/eV/f.u.

a = 4.999 Å, b = 4.999 Å, c = 4.999 Å
α = 90.00°, β = 90.00°, γ = 90.00°
Site moments in Bohr magnetons follow the coordinates.
Fractional coordinates of all 5 atoms:
Cl1 0.500 0.500 0.500  0.04
Ag1 0.000 0.500 0.000  0.14
Ag2 0.000 0.000 0.500  0.14
Ag3 0.500 0.000 0.000  0.14
Ti1 0.000 0.000 0.000  1.54

> Which of these has the highest total magnetization?

TiAg3Cl

> raw formation energy of number 12 (TiAg3Cl)?

1020 meV/atom

> Which of these has the lowest raw formation energy?

number 3